# KCuOs2O8

An optimized crystal structure of KCuOs2O8 (PBE-GGA, Alexandria via LeMat-Bulk).

Energy   -79.24 eV/cell
Total moment   2.0 μB/cell
Raw formation energy   -993 meV/atom

Cell: 5.428 5.428 7.810 Å, 90.00 90.00 120.00°
Atoms (fractional coordinates):
K (0.000, 0.000, 0.000)
Cu (0.000, 0.000, 0.500)
Os (0.333, 0.667, 0.732)
Os (0.667, 0.333, 0.268)
O (0.054, 0.330, 0.660)
O (0.276, 0.946, 0.660)
O (0.330, 0.276, 0.340)
O (0.333, 0.667, 0.958)
O (0.667, 0.333, 0.042)
O (0.670, 0.724, 0.660)
O (0.724, 0.054, 0.340)
O (0.946, 0.670, 0.340)